Record 1
The following is a PBE calculation of CaZrTl2 after structural relaxation, from Alexandria.

extended XYZ file:
```
4
Lattice="0.0000 3.8192 3.8192 3.8192 0.0000 3.8192 3.8192 3.8192 0.0000" Properties=species:S:1:pos:R:3 pbc="T T T"
Ca 0.0000 0.0000 0.0000
Zr 1.9096 1.9096 1.9096
Tl 3.8192 3.8192 3.8192
Tl 5.7288 5.7288 5.7288
```

Properties
The volume is 27.85 A^3/atom. The calculation puts the spin magnetization at 2.48 μB/f.u. For the energy of formation from the pure elements, the calculation gives 7.81 kcal/mol of atoms.

---

Record 2
The following is a PBE calculation of Ca2ZrTl after structural relaxation, from Alexandria.

extended XYZ file:
```
4
Lattice="3.4552 0.0000 0.0000 0.0000 5.0266 0.0000 0.0000 0.0000 6.5652" Properties=species:S:1:pos:R:3 pbc="T T T"
Ca 0.0000 0.0000 1.6343
Ca 0.0000 0.0000 4.9309
Zr 1.7276 2.5133 3.2826
Tl 1.7276 2.5133 0.0000
```

Properties
The volume is 28.51 A^3/atom. The calculation puts the spin magnetization at 0.00 μB/f.u. For the energy of formation from the pure elements, the calculation gives 1.69 kcal/mol of atoms. As for the energy above the lowest structure with this stoichiometry: 0.0397 eV/atom.

---

Record 3
The following is a PBE calculation of Ca2ZrTl after structural relaxation, from Alexandria.

extended XYZ file:
```
4
Lattice="0.0000 3.8775 3.8775 3.8775 0.0000 3.8775 3.8775 3.8775 0.0000" Properties=species:S:1:pos:R:3 pbc="T T T"
Ca 1.9387 1.9387 1.9387
Ca 5.8162 5.8162 5.8162
Zr 0.0000 0.0000 0.0000
Tl 3.8775 3.8775 3.8775
```

Properties
The volume is 29.15 A^3/atom. The calculation puts the spin magnetization at 2.89 μB/f.u. For the energy of formation from the pure elements, the calculation gives 5.01 kcal/mol of atoms. As for the energy above the lowest structure with this stoichiometry: 0.1838 eV/atom.